Entry 1:
TlOs2N after structural relaxation, computed with PBEsol.

Output
Calculated total energy, eV per atom: -6.813
Fermi-level density of states, states/eV/atom: 1.272
Spin magnetization, μB/cell: 0.011
Density, kg/m3: 17340
Formation energy from raw total energies, meV per atom: 2085
Crystal system: cubic

Unit cell a=6.122 b=6.122 c=6.122 alpha=90.00 beta=90.00 gamma=90.00
Space group Fm-3m (No. 225)
One atom of each set of equivalent atoms:
Tl (0.000, 0.000, 0.000) (multiplicity 4)
Os (0.250, 0.250, 0.250) (multiplicity 8)
N (0.000, 0.000, 0.500) (multiplicity 4)

Entry 2:
CsUCrO6 after structural relaxation, computed with PBEsol.

Output
Calculated total energy, eV per atom: -8.585
Spin magnetization, μB/cell: 4.000
Density, kg/m3: 5609
Formation energy from raw total energies, meV per atom: -2491
Crystal system: monoclinic

Unit cell a=7.358 b=8.308 c=10.439 alpha=90.00 beta=105.63 gamma=90.00
Space group P2_1/c (No. 14)
One atom of each set of equivalent atoms:
Cs (0.037, 0.239, 0.367) (multiplicity 4)
U (0.489, 0.019, 0.178) (multiplicity 4)
Cr (0.395, 0.644, 0.942) (multiplicity 4)
O (0.175, 0.633, 0.926) (multiplicity 4)
O (0.234, 0.056, 0.122) (multiplicity 4)
O (0.257, 0.019, 0.762) (multiplicity 4)
O (0.433, 0.711, 0.785) (multiplicity 4)
O (0.468, 0.060, 0.396) (multiplicity 4)
O (0.475, 0.659, 0.508) (multiplicity 4)

Entry 3:
Cu3Si after structural relaxation, computed with PBEsol.

Output
Calculated total energy, eV per atom: -4.761
Fermi-level density of states, states/eV/atom: 0.222
Spin magnetization, μB/cell: 0.000
Density, kg/m3: 7866
Formation energy from raw total energies, meV per atom: -73
Crystal system: orthorhombic

Unit cell a=2.621 b=8.089 c=4.355 alpha=90.00 beta=90.00 gamma=90.00
Space group Imm2 (No. 44)
One atom of each set of equivalent atoms:
Cu (0.000, 0.000, 0.000) (multiplicity 2)
Cu (0.000, 0.246, 0.656) (multiplicity 4)
Si (0.000, 0.500, 0.997) (multiplicity 2)